Entry 1:
Compound: Dy2CdGe4Pt3
Source: Alexandria
Functional: GGA-PBE
Structure: relaxed

abc: 4.217 4.217 10.912
angles: 90.00 90.00 90.00
Sites, in units of the cell vectors:
1 Cd 0.500 0.500 0.500
2 Pt 0.000 0.000 0.500
3 Ge 0.500 0.500 0.000
4 Ge 0.000 0.000 0.000
5 Ge 0.000 0.500 0.351
6 Ge 0.500 0.000 0.649
7 Pt 0.500 0.000 0.872
8 Dy 0.000 0.500 0.750
9 Dy 0.500 0.000 0.250
10 Pt 0.000 0.500 0.128

---

Entry 2:
Compound: Dy2CdGe3Pt4
Source: Alexandria
Functional: GGA-PBE
Structure: relaxed

abc: 4.174 4.174 11.106
angles: 90.00 90.00 90.00
Sites, in units of the cell vectors:
1 Ge 0.500 0.000 0.871
2 Ge 0.000 0.500 0.129
3 Cd 0.500 0.500 0.500
4 Pt 0.500 0.000 0.656
5 Dy 0.000 0.500 0.757
6 Ge 0.000 0.000 0.500
7 Pt 0.000 0.000 0.000
8 Pt 0.500 0.500 0.000
9 Pt 0.000 0.500 0.344
10 Dy 0.500 0.000 0.243

---

Entry 3:
Compound: SrDyCdGe
Source: Alexandria
Functional: GGA-PBE
Structure: relaxed

abc: 5.345 5.345 5.345
angles: 60.00 60.00 60.00
Sites, in units of the cell vectors:
1 Ge 0.500 0.500 0.500
2 Sr 0.250 0.250 0.250
3 Dy 0.750 0.750 0.750
4 Cd 0.000 0.000 0.000

---

Entry 4:
Compound: TbDyCdGe
Source: Alexandria
Functional: GGA-PBE
Structure: relaxed

abc: 5.153 5.153 5.153
angles: 60.00 60.00 60.00
Sites, in units of the cell vectors:
1 Tb 0.000 0.000 0.000
2 Dy 0.500 0.500 0.500
3 Cd 0.750 0.750 0.750
4 Ge 0.250 0.250 0.250

---

no.,calculated formation energy (kJ/mol of atoms)
1,-72
2,-78
3,-36
4,-46